(1)
VASP calculation (PBE) on crystalline Zn2SnPdO at its relaxed geometry.

Results
- formation energy without anion corrections (eV per formula unit) = 4.5

Cell lengths 5.021, 5.021, 5.058 Å; angles 90.00, 90.00, 90.00 degrees
Positions (direct):
Zn (0.000, 0.500, 0.000)
Zn (0.500, 0.000, 0.000)
Sn (0.000, 0.000, 0.000)
Pd (0.000, 0.000, 0.500)
O (0.500, 0.500, 0.500)


(2)
VASP calculation (PBE) on crystalline SrPd3O8 at its relaxed geometry.

Results
- formation energy without anion corrections (eV per formula unit) = -4.7

Cell lengths 5.267, 5.267, 6.877 Å; angles 90.00, 90.00, 120.00 degrees
Positions (direct):
Sr (0.000, 0.000, 0.000)
Pd (0.000, 0.000, 0.500)
Pd (0.333, 0.667, 0.500)
Pd (0.667, 0.333, 0.500)
O (0.000, 0.331, 0.345)
O (0.000, 0.669, 0.655)
O (0.331, 0.000, 0.345)
O (0.331, 0.331, 0.655)
O (0.333, 0.667, 0.000)
O (0.667, 0.333, 0.000)
O (0.669, 0.000, 0.655)
O (0.669, 0.669, 0.345)


(3)
VASP calculation (PBE) on crystalline SrPdO at its relaxed geometry.

Results
- formation energy without anion corrections (eV per formula unit) = -4.1

Cell lengths 6.284, 3.477, 9.872 Å; angles 90.00, 90.00, 90.00 degrees
Positions (direct):
Sr (0.115, 0.250, 0.150)
Sr (0.385, 0.750, 0.650)
Sr (0.615, 0.250, 0.350)
Sr (0.885, 0.750, 0.850)
Pd (0.129, 0.250, 0.451)
Pd (0.371, 0.750, 0.951)
Pd (0.629, 0.250, 0.049)
Pd (0.871, 0.750, 0.549)
O (0.157, 0.250, 0.878)
O (0.343, 0.750, 0.378)
O (0.657, 0.250, 0.622)
O (0.843, 0.750, 0.122)


(4)
VASP calculation (PBE) on crystalline Sr4Pd2O at its relaxed geometry.

Results
- ΔE to the lowest computed polymorph (kJ/mol of formula units) = 0
- formation energy without anion corrections (eV per formula unit) = -7.4

Cell lengths 8.854, 8.854, 8.854 Å; angles 147.69, 147.69, 46.34 degrees
Positions (direct):
Sr (0.000, 0.500, 0.500)
Sr (0.175, 0.175, 0.000)
Sr (0.500, 0.000, 0.500)
Sr (0.825, 0.825, 0.000)
Pd (0.367, 0.367, 0.000)
Pd (0.633, 0.633, 0.000)
O (0.000, 0.000, 0.000)


(5)
VASP calculation (PBE) on crystalline Sr3PdO at its relaxed geometry.

Results
- ΔE to the lowest computed polymorph (kJ/mol of formula units) = 0
- formation energy without anion corrections (eV per formula unit) = -6.2

Cell lengths 5.098, 5.098, 5.098 Å; angles 90.00, 90.00, 90.00 degrees
Positions (direct):
Sr (0.000, 0.000, 0.500)
Sr (0.000, 0.500, 0.000)
Sr (0.500, 0.000, 0.000)
Pd (0.500, 0.500, 0.500)
O (0.000, 0.000, 0.000)


(6)
VASP calculation (PBE) on crystalline SrPdO2 at its relaxed geometry.

Results
- formation energy without anion corrections (eV per formula unit) = -5.4

Cell lengths 6.546, 6.546, 6.546 Å; angles 33.24, 33.24, 33.24 degrees
Positions (direct):
Sr (0.000, 0.000, 0.000)
Pd (0.500, 0.500, 0.500)
O (0.397, 0.397, 0.397)
O (0.603, 0.603, 0.603)